(1)
The following is a DFT calculation (PBE) of a relaxed structure of Sr3NCl2.

Summary:
Electronic total energy ... -25.87 eV/f.u.
Space-group type ... Cmc2_1
D(E_F) ... 1.18 states/eV/f.u.
Spin magnetization ... 0.00 μB per cell
Raw formation energy ... -1468 meV/atom

Cell lengths 5.8853, 8.6571, 8.6571 Å; angles 121.59, 90.00, 90.00 degrees
Positions (direct):
Sr1 0.4645 0.8693 0.8693
Sr2 0.9892 0.5529 0.7991
Sr3 0.4892 0.4471 0.2009
Sr4 0.4892 0.2009 0.4471
Sr5 0.9892 0.7991 0.5529
Sr6 0.9645 0.1307 0.1307
Cl1 0.4906 0.5061 0.8761
Cl2 0.4906 0.8761 0.5061
Cl3 0.9906 0.4939 0.1239
Cl4 0.9906 0.1239 0.4939
N1 0.5338 0.1541 0.1541
N2 0.0338 0.8459 0.8459

=====

(2)
The following is a DFT calculation (PBE) of a relaxed structure of SrN2Cl2.

Summary:
Electronic total energy ... -28.86 eV/f.u.
Space-group type ... C2/c
D(E_F) ... 0.00 states/eV/f.u.
Spin magnetization ... 0.00 μB per cell
Raw formation energy ... -1366 meV/atom

Cell lengths 8.6807, 13.7623, 7.2075 Å; angles 25.43, 90.00, 108.38 degrees
Positions (direct):
N1 0.7097 0.9743 0.7184
N2 0.2647 0.9743 0.2184
N3 0.2903 0.0257 0.2816
N4 0.7353 0.0257 0.7816
Sr1 0.2017 0.0000 0.7500
Sr2 0.7983 0.0000 0.2500
Cl1 0.1758 0.4749 0.6744
Cl2 0.8242 0.5251 0.3256
Cl3 0.2992 0.4749 0.1744
Cl4 0.7008 0.5251 0.8256

=====

(3)
The following is a DFT calculation (PBE) of a relaxed structure of Sr2N2Cl3.

Summary:
Electronic total energy ... -37.06 eV/f.u.
Space-group type ... P-1
D(E_F) ... 1.08 states/eV/f.u.
Spin magnetization ... 0.08 μB per cell
Raw formation energy ... -1643 meV/atom

Cell lengths 4.0665, 6.8670, 6.7026 Å; angles 81.34, 86.30, 68.81 degrees
Positions (direct):
Sr1 0.0944 0.7654 0.2942
Sr2 0.9056 0.2346 0.7058
N1 0.5745 0.0477 0.5311
N2 0.4255 0.9523 0.4689
Cl1 0.5000 0.0000 0.0000
Cl2 0.7947 0.4396 0.2771
Cl3 0.2053 0.5604 0.7229

=====

(4)
The following is a DFT calculation (PBE) of a relaxed structure of SrN2Cl3.

Summary:
Electronic total energy ... -19.79 eV/f.u.
Space-group type ... C2/c
Spin magnetization ... 13.97 μB per cell
Raw formation energy ... 681 meV/atom

Cell lengths 5.9133, 8.4052, 8.2969 Å; angles 97.12, 110.88, 90.00 degrees
Positions (direct):
Sr1 0.1351 0.2500 0.0000
Sr2 0.8649 0.7500 0.0000
N1 0.5414 0.2190 0.3646
N2 0.1768 0.2810 0.6354
N3 0.4586 0.7810 0.6354
N4 0.8232 0.7190 0.3646
Cl1 0.3560 0.7500 0.0000
Cl2 0.6440 0.2500 0.0000
Cl3 0.2343 0.5533 0.2286
Cl4 0.0058 0.9467 0.7714
Cl5 0.9942 0.0533 0.2286
Cl6 0.7657 0.4467 0.7714

=====

(5)
The following is a DFT calculation (PBE) of a relaxed structure of Sr4NCl5.

Summary:
Electronic total energy ... -44.37 eV/f.u.
Space-group type ... C2/m
D(E_F) ... 0.00 states/eV/f.u.
Spin magnetization ... 0.07 μB per cell
Raw formation energy ... -2008 meV/atom

Cell lengths 4.1746, 8.1341, 9.2952 Å; angles 106.09, 102.98, 90.00 degrees
Positions (direct):
Sr1 0.3463 0.8943 0.6926
Sr2 0.6537 0.1057 0.3074
Sr3 0.0010 0.7764 0.0020
Sr4 0.9990 0.2236 0.9980
Cl1 0.8352 0.6503 0.6703
Cl2 0.5000 0.5000 0.0000
Cl3 0.8300 0.1362 0.6600
Cl4 0.1648 0.3497 0.3297
Cl5 0.1700 0.8638 0.3400
N1 0.5000 0.0000 0.0000

=====

(6)
The following is a DFT calculation (PBE) of a relaxed structure of Sr9N2Cl14.

Summary:
Electronic total energy ... -109.97 eV/f.u.
Space-group type ... P-3
D(E_F) ... 13.94 states/eV/f.u.
Spin magnetization ... 2.00 μB per cell
Raw formation energy ... -2093 meV/atom

Cell lengths 8.4287, 8.4287, 11.7915 Å; angles 90.00, 90.00, 120.00 degrees
Positions (direct):
Sr1 0.7049 0.0752 0.6616
Sr2 0.2951 0.9248 0.3384
Sr3 0.3333 0.6667 0.0484
Sr4 0.6297 0.7049 0.3384
Sr5 0.0000 0.0000 0.0000
Sr6 0.0752 0.3703 0.3384
Sr7 0.9248 0.6297 0.6616
Sr8 0.3703 0.2951 0.6616
Sr9 0.6667 0.3333 0.9516
Cl1 0.6874 0.0757 0.4045
Cl2 0.6764 0.6401 0.0940
Cl3 0.9243 0.6117 0.4045
Cl4 0.0757 0.3883 0.5955
Cl5 0.6117 0.6874 0.5955
Cl6 0.6401 0.9637 0.9060
Cl7 0.3883 0.3126 0.4045
Cl8 0.3236 0.3599 0.9060
Cl9 0.3126 0.9243 0.5955
Cl10 0.0000 0.0000 0.7446
Cl11 0.9637 0.3236 0.0940
Cl12 0.3599 0.0363 0.0940
Cl13 0.0000 0.0000 0.2554
Cl14 0.0363 0.6764 0.9060
N1 0.3333 0.6667 0.2644
N2 0.6667 0.3333 0.7356